Entry from Alexandria via LeMat-Bulk: an optimized crystal structure of CoReNi2 (PBE-GGA).

CIF file:
```
data_CoReNi2
_chemical_formula_sum 'Co2 Re2 Ni4'
_space_group_name_H-M_alt 'C m m m'
_space_group_IT_number 65
_space_group_name_Hall '-C 2 2'
_cell_length_a 5.055
_cell_length_b 7.434
_cell_length_c 2.555
_cell_angle_alpha 90.00
_cell_angle_beta 90.00
_cell_angle_gamma 90.00
loop_
_atom_site_label
_atom_site_fract_x
_atom_site_fract_y
_atom_site_fract_z
Co1 0.000 0.000 0.000
Re1 0.000 0.500 0.000
Ni1 0.250 0.250 0.500
```

Values from the calculation:
**E above lowest polymorph**: 0.405 eV per formula unit
**VASP energy**: -61.4 eV/cell
**Magnetic moment**: 4.00 Bohr magnetons per cell